1.
This record from Alexandria describes PaCuSeO5 after structural relaxation. The functional is PBE-GGA. Values from VASP.

Quantum ESPRESSO input file:
```
&SYSTEM
  ibrav = 0, nat = 16, ntyp = 4
/
ATOMIC_SPECIES
Pa 231.04 Pa.upf
Cu 63.55 Cu.upf
Se 78.96 Se.upf
O 16.00 O.upf
CELL_PARAMETERS angstrom
5.6942 1.0503 -0.2666
-0.6577 5.7528 -0.2666
-2.4661 -3.3310 7.8397
ATOMIC_POSITIONS crystal
Pa 0.0000 0.0000 0.5000
Pa 0.0000 0.0000 0.0000
Cu 0.2738 0.7262 0.2500
Cu 0.7262 0.2738 0.7500
Se 0.6547 0.3453 0.2500
Se 0.3453 0.6547 0.7500
O 0.0266 0.9734 0.2500
O 0.9734 0.0266 0.7500
O 0.7371 0.2581 0.0177
O 0.2629 0.7419 0.9823
O 0.7419 0.2629 0.4823
O 0.2581 0.7371 0.5177
O 0.6733 0.6701 0.3347
O 0.3267 0.3299 0.6653
O 0.3299 0.3267 0.1653
O 0.6701 0.6733 0.8347
```

## Properties
Formation energy from raw total energies   -40.04 kcal/mol of atoms
Crystal system   monoclinic


2.
This record from Alexandria describes PaCuSeO6 after structural relaxation. The functional is PBE-GGA. Values from VASP.

Quantum ESPRESSO input file:
```
&SYSTEM
  ibrav = 0, nat = 18, ntyp = 4
/
ATOMIC_SPECIES
Pa 231.04 Pa.upf
Cu 63.55 Cu.upf
Se 78.96 Se.upf
O 16.00 O.upf
CELL_PARAMETERS angstrom
5.4069 0.0000 0.0000
-2.7035 4.6825 0.0000
0.0000 0.0000 8.8909
ATOMIC_POSITIONS crystal
Pa 0.3333 0.6667 0.2500
Pa 0.6667 0.3333 0.7500
Cu 0.0000 0.0000 0.0000
Cu 0.0000 0.0000 0.5000
Se 0.6667 0.3333 0.2500
Se 0.3333 0.6667 0.7500
O 0.6722 0.6274 0.1320
O 0.9552 0.3278 0.1320
O 0.3278 0.9552 0.6320
O 0.0448 0.6722 0.8680
O 0.3726 0.3278 0.3680
O 0.9552 0.6274 0.3680
O 0.6274 0.9552 0.8680
O 0.6722 0.0448 0.3680
O 0.0448 0.3726 0.6320
O 0.3726 0.0448 0.1320
O 0.6274 0.6722 0.6320
O 0.3278 0.3726 0.8680
```

## Properties
Formation energy from raw total energies   -33.83 kcal/mol of atoms
Crystal system   trigonal


3.
This record from Alexandria describes PaCuSiO after structural relaxation. The functional is PBE-GGA. Values from VASP.

Quantum ESPRESSO input file:
```
&SYSTEM
  ibrav = 0, nat = 8, ntyp = 4
/
ATOMIC_SPECIES
Pa 231.04 Pa.upf
Cu 63.55 Cu.upf
Si 28.09 Si.upf
O 16.00 O.upf
CELL_PARAMETERS angstrom
3.8770 0.0000 0.0000
0.0000 3.8770 0.0000
0.0000 0.0000 7.9998
ATOMIC_POSITIONS crystal
Pa 0.0000 0.5000 0.8331
Pa 0.5000 0.0000 0.1669
Cu 0.0000 0.0000 0.5000
Cu 0.5000 0.5000 0.5000
Si 0.5000 0.0000 0.6721
Si 0.0000 0.5000 0.3279
O 0.5000 0.5000 0.0000
O 0.0000 0.0000 0.0000
```

## Properties
Formation energy from raw total energies   -36.75 kcal/mol of atoms
Crystal system   tetragonal


4.
This record from Alexandria describes PaCuSi2O8 after structural relaxation. The functional is PBE-GGA. Values from VASP.

Quantum ESPRESSO input file:
```
&SYSTEM
  ibrav = 0, nat = 12, ntyp = 4
/
ATOMIC_SPECIES
Pa 231.04 Pa.upf
Cu 63.55 Cu.upf
Si 28.09 Si.upf
O 16.00 O.upf
CELL_PARAMETERS angstrom
5.7094 0.1890 0.0000
-2.3628 5.2009 0.0000
-1.6733 -2.6950 4.7508
ATOMIC_POSITIONS crystal
Pa 0.0000 0.0000 0.0000
Cu 0.2500 0.7500 0.5000
Si 0.7500 0.2500 0.5000
Si 0.5000 0.5000 0.0000
O 0.3996 0.0879 0.3117
O 0.3277 0.5136 0.1859
O 0.3277 0.1418 0.8141
O 0.7762 0.0879 0.6883
O 0.8582 0.6723 0.1859
O 0.9121 0.2238 0.3117
O 0.9121 0.6004 0.6883
O 0.4864 0.6723 0.8141
```

## Properties
Formation energy from raw total energies   -52.72 kcal/mol of atoms
Crystal system   tetragonal


5.
This record from Alexandria describes SmPaCuO5 after structural relaxation. The functional is PBE-GGA. Values from VASP.

Quantum ESPRESSO input file:
```
&SYSTEM
  ibrav = 0, nat = 16, ntyp = 4
/
ATOMIC_SPECIES
Sm 150.36 Sm.upf
Pa 231.04 Pa.upf
Cu 63.55 Cu.upf
O 16.00 O.upf
CELL_PARAMETERS angstrom
-2.3081 -5.4442 -0.1043
5.0796 0.0739 3.0281
-4.9651 3.8620 4.9069
ATOMIC_POSITIONS crystal
Sm 0.3357 0.6643 0.2500
Sm 0.6643 0.3357 0.7500
Pa 0.0000 0.0000 0.5000
Pa 0.0000 0.0000 0.0000
Cu 0.6729 0.3271 0.2500
Cu 0.3271 0.6729 0.7500
O 0.0977 0.9023 0.2500
O 0.9023 0.0977 0.7500
O 0.9107 0.3127 0.1150
O 0.0893 0.6873 0.8850
O 0.6873 0.0893 0.3850
O 0.3127 0.9107 0.6150
O 0.6913 0.6296 0.4226
O 0.3087 0.3704 0.5774
O 0.3704 0.3087 0.0774
O 0.6296 0.6913 0.9226
```

## Properties
Formation energy from raw total energies   -61.28 kcal/mol of atoms
Crystal system   monoclinic


6.
This record from Alexandria describes SmPaCuO6 after structural relaxation. The functional is PBE-GGA. Values from VASP.

Quantum ESPRESSO input file:
```
&SYSTEM
  ibrav = 0, nat = 9, ntyp = 4
/
ATOMIC_SPECIES
Sm 150.36 Sm.upf
Pa 231.04 Pa.upf
Cu 63.55 Cu.upf
O 16.00 O.upf
CELL_PARAMETERS angstrom
-1.6457 4.5970 -0.4824
-4.4221 -1.8377 -2.4259
0.0862 0.5907 5.3349
ATOMIC_POSITIONS crystal
Sm 0.5000 0.6667 0.3333
Pa 0.0000 0.3333 0.6667
Cu 0.5000 0.0000 0.0000
O 0.7401 0.6795 0.7109
O 0.7401 0.2891 0.9686
O 0.7401 0.0314 0.3205
O 0.2599 0.2891 0.3205
O 0.2599 0.6795 0.9686
O 0.2599 0.0314 0.7109
```

## Properties
Formation energy from raw total energies   -51.79 kcal/mol of atoms
Crystal system   trigonal


7.
This record from Alexandria describes SmPa2CuO8 after structural relaxation. The functional is PBE-GGA. Values from VASP.

Quantum ESPRESSO input file:
```
&SYSTEM
  ibrav = 0, nat = 12, ntyp = 4
/
ATOMIC_SPECIES
Sm 150.36 Sm.upf
Pa 231.04 Pa.upf
Cu 63.55 Cu.upf
O 16.00 O.upf
CELL_PARAMETERS angstrom
5.2212 0.0000 0.0000
-2.6106 4.5217 0.0000
0.0000 0.0000 6.3252
ATOMIC_POSITIONS crystal
Sm 0.0000 0.0000 0.5000
Pa 0.6667 0.3333 0.1297
Pa 0.3333 0.6667 0.8703
Cu 0.0000 0.0000 0.0000
O 0.8285 0.6570 0.8214
O 0.3430 0.1715 0.8214
O 0.8285 0.1715 0.8214
O 0.1715 0.3430 0.1786
O 0.6570 0.8285 0.1786
O 0.1715 0.8285 0.1786
O 0.6667 0.3333 0.4308
O 0.3333 0.6667 0.5692
```

## Properties
Formation energy from raw total energies   -56.75 kcal/mol of atoms
Crystal system   trigonal


8.
This record from Alexandria describes PaCuSnO6 after structural relaxation. The functional is PBE-GGA. Values from VASP.

Quantum ESPRESSO input file:
```
&SYSTEM
  ibrav = 0, nat = 18, ntyp = 4
/
ATOMIC_SPECIES
Pa 231.04 Pa.upf
Cu 63.55 Cu.upf
Sn 118.71 Sn.upf
O 16.00 O.upf
CELL_PARAMETERS angstrom
-1.9108 -3.9551 2.1672
-0.2388 -2.2617 -4.3381
8.9393 -3.5688 1.3686
ATOMIC_POSITIONS crystal
Pa 0.5000 0.5000 0.4990
Pa 0.0000 0.0000 0.9990
Cu 0.5000 0.5000 0.1664
Cu 0.0000 0.0000 0.6664
Sn 0.5000 0.5000 0.8334
Sn 0.0000 0.0000 0.3334
O 0.1841 0.8159 0.5031
O 0.8159 0.1841 0.5031
O 0.3159 0.3159 0.0031
O 0.6841 0.6841 0.0031
O 0.2023 0.7977 0.1708
O 0.7977 0.2023 0.1708
O 0.2977 0.2977 0.6708
O 0.7023 0.7023 0.6708
O 0.8032 0.1968 0.8267
O 0.1968 0.8032 0.8267
O 0.6968 0.6968 0.3267
O 0.3032 0.3032 0.3267
```

## Properties
Formation energy from raw total energies   -44.34 kcal/mol of atoms
Crystal system   tetragonal


9.
This record from Alexandria describes PaCu2SnO8 after structural relaxation. The functional is PBE-GGA. Values from VASP.

Quantum ESPRESSO input file:
```
&SYSTEM
  ibrav = 0, nat = 12, ntyp = 4
/
ATOMIC_SPECIES
Pa 231.04 Pa.upf
Cu 63.55 Cu.upf
Sn 118.71 Sn.upf
O 16.00 O.upf
CELL_PARAMETERS angstrom
-0.7557 -5.3849 -2.2246
4.4295 2.8890 -2.5594
1.2589 -0.5578 5.7115
ATOMIC_POSITIONS crystal
Pa 0.0000 0.0000 0.0000
Cu 0.7500 0.2500 0.5000
Cu 0.5000 0.5000 0.0000
Sn 0.2500 0.7500 0.5000
O 0.3587 0.0341 0.3246
O 0.2932 0.4789 0.1858
O 0.2932 0.1074 0.8142
O 0.7095 0.0341 0.6754
O 0.8926 0.7068 0.1858
O 0.9659 0.2905 0.3246
O 0.9659 0.6413 0.6754
O 0.5211 0.7068 0.8142
```

## Properties
Formation energy from raw total energies   -31.38 kcal/mol of atoms
Crystal system   tetragonal


10.
This record from Alexandria describes SrPa4Cu3O12 after structural relaxation. The functional is PBE-GGA. Values from VASP.

Quantum ESPRESSO input file:
```
&SYSTEM
  ibrav = 0, nat = 20, ntyp = 4
/
ATOMIC_SPECIES
Sr 87.62 Sr.upf
Pa 231.04 Pa.upf
Cu 63.55 Cu.upf
O 16.00 O.upf
CELL_PARAMETERS angstrom
-6.0132 1.7675 -3.5146
2.6984 -6.0582 -2.7662
-1.4980 -1.0024 6.9560
ATOMIC_POSITIONS crystal
Sr 0.0000 0.0000 0.0000
Pa 0.5000 0.0000 0.0000
Pa 0.5000 0.5000 0.5000
Pa 0.0000 0.5000 0.0000
Pa 0.0000 0.0000 0.5000
Cu 0.0000 0.5000 0.5000
Cu 0.5000 0.5000 0.0000
Cu 0.5000 0.0000 0.5000
O 0.2977 0.8311 0.1288
O 0.7023 0.1689 0.8712
O 0.7023 0.8311 0.5335
O 0.8712 0.7023 0.1689
O 0.8311 0.1288 0.2977
O 0.1689 0.4665 0.2977
O 0.4665 0.2977 0.1689
O 0.1689 0.8712 0.7023
O 0.2977 0.1689 0.4665
O 0.1288 0.2977 0.8311
O 0.8311 0.5335 0.7023
O 0.5335 0.7023 0.8311
```

## Properties
Formation energy from raw total energies   -62.01 kcal/mol of atoms
Crystal system   cubic